(1)
# Li2DySn | Alexandria | GGA-PBE | relaxed
# Space group: P4/mmm, No. 123
# Magnetic moment in μB per cell: 0.000
# Uncorrected energy in eV per atom: -3.45
# ΔE_f in kJ/mol of formula units: -130.8
data_Li2DySn
_chemical_formula_sum 'Li2 Dy1 Sn1'
_space_group_name_H-M_alt 'P 1'
_space_group_IT_number 1
_space_group_name_Hall 'P 1'
_cell_length_a 4.847
_cell_length_b 4.382
_cell_length_c 4.382
_cell_angle_alpha 90.00
_cell_angle_beta 90.00
_cell_angle_gamma 90.00
loop_
_atom_site_label
_atom_site_type_symbol
_atom_site_fract_x
_atom_site_fract_y
_atom_site_fract_z
Li1 Li 0.000 0.000 0.500
Li2 Li 0.000 0.500 0.000
Sn1 Sn 0.500 0.000 0.000
Dy1 Dy 0.500 0.500 0.500


(2)
# SrLi2Dy2Sn2 | Alexandria | GGA-PBE | relaxed
# Space group: R-3m, No. 166
# Magnetic moment in μB per cell: 0.001
# Uncorrected energy in eV per atom: -3.72
# ΔE_f in kJ/mol of formula units: -321.5
data_SrLi2Dy2Sn2
_chemical_formula_sum 'Sr1 Li2 Dy2 Sn2'
_space_group_name_H-M_alt 'P 1'
_space_group_IT_number 1
_space_group_name_Hall 'P 1'
_cell_length_a 4.879
_cell_length_b 4.879
_cell_length_c 9.812
_cell_angle_alpha 75.60
_cell_angle_beta 75.60
_cell_angle_gamma 60.00
loop_
_atom_site_label
_atom_site_type_symbol
_atom_site_fract_x
_atom_site_fract_y
_atom_site_fract_z
Sr1 Sr 0.000 0.000 0.000
Li1 Li 0.582 0.582 0.255
Li2 Li 0.418 0.418 0.745
Dy1 Dy 0.132 0.132 0.605
Dy2 Dy 0.868 0.868 0.395
Sn1 Sn 0.748 0.748 0.756
Sn2 Sn 0.252 0.252 0.244


(3)
# SrLi2DySn2 | Alexandria | GGA-PBE | relaxed
# Space group: P-3m1, No. 164
# Magnetic moment in μB per cell: 0.000
# Uncorrected energy in eV per atom: -3.62
# ΔE_f in kJ/mol of formula units: -347.4
data_SrLi2DySn2
_chemical_formula_sum 'Sr1 Li2 Dy1 Sn2'
_space_group_name_H-M_alt 'P 1'
_space_group_IT_number 1
_space_group_name_Hall 'P 1'
_cell_length_a 4.827
_cell_length_b 4.827
_cell_length_c 7.810
_cell_angle_alpha 90.00
_cell_angle_beta 90.00
_cell_angle_gamma 120.00
loop_
_atom_site_label
_atom_site_type_symbol
_atom_site_fract_x
_atom_site_fract_y
_atom_site_fract_z
Sr1 Sr 0.000 0.000 0.000
Li1 Li 0.333 0.667 0.695
Li2 Li 0.667 0.333 0.305
Dy1 Dy 0.000 0.000 0.500
Sn1 Sn 0.333 0.667 0.289
Sn2 Sn 0.667 0.333 0.711


(4)
# SrLiDySn | Alexandria | GGA-PBE | relaxed
# Space group: F-43m, No. 216
# Magnetic moment in μB per cell: 0.000
# Uncorrected energy in eV per atom: -3.39
# ΔE_f in kJ/mol of formula units: -132.7
data_SrLiDySn
_chemical_formula_sum 'Sr1 Li1 Dy1 Sn1'
_space_group_name_H-M_alt 'P 1'
_space_group_IT_number 1
_space_group_name_Hall 'P 1'
_cell_length_a 5.448
_cell_length_b 5.448
_cell_length_c 5.448
_cell_angle_alpha 60.00
_cell_angle_beta 60.00
_cell_angle_gamma 60.00
loop_
_atom_site_label
_atom_site_type_symbol
_atom_site_fract_x
_atom_site_fract_y
_atom_site_fract_z
Sr1 Sr 0.000 0.000 0.000
Li1 Li 0.750 0.750 0.750
Sn1 Sn 0.250 0.250 0.250
Dy1 Dy 0.500 0.500 0.500